# SmCoI (PBE, relaxed)
data_SmCoI
_cell_length_a 4.033
_cell_length_b 4.033
_cell_length_c 12.722
_cell_angle_alpha 81.10
_cell_angle_beta 80.88
_cell_angle_gamma 60.00
_symmetry_space_group_name_H-M 'P 1'
_symmetry_Int_Tables_number 1
loop_
_symmetry_equiv_pos_as_xyz
'x,y,z'
loop_
_atom_site_label
_atom_site_fract_x
_atom_site_fract_y
_atom_site_fract_z
Sm1 0.051 0.741 0.156
I1 0.548 0.226 0.678
Sm2 0.154 0.836 0.855
I2 0.324 0.018 0.333
Co1 0.436 0.122 0.006
Co2 0.769 0.455 0.006
# Energy relative to the elements, uncorrected   -0.761 eV/atom
# Symmetry   No. 8

# PrZn6Cu2 (PBE, relaxed)
data_PrZn6Cu2
_cell_length_a 8.085
_cell_length_b 8.085
_cell_length_c 8.085
_cell_angle_alpha 60.00
_cell_angle_beta 60.00
_cell_angle_gamma 60.00
_symmetry_space_group_name_H-M 'P 1'
_symmetry_Int_Tables_number 1
loop_
_symmetry_equiv_pos_as_xyz
'x,y,z'
loop_
_atom_site_label
_atom_site_fract_x
_atom_site_fract_y
_atom_site_fract_z
Pr1 0.500 0.500 0.500
Pr2 0.750 0.750 0.750
Cu1 0.125 0.125 0.625
Zn1 0.765 0.235 0.235
Zn2 0.235 0.765 0.765
Zn3 0.235 0.235 0.765
Zn4 0.235 0.765 0.235
Cu2 0.125 0.125 0.125
Zn5 0.765 0.765 0.235
Zn6 0.765 0.235 0.765
Zn7 0.015 0.485 0.015
Zn8 0.485 0.015 0.015
Zn9 0.015 0.015 0.485
Cu3 0.125 0.625 0.125
Zn10 0.485 0.485 0.015
Zn11 0.485 0.015 0.485
Zn12 0.015 0.485 0.485
Cu4 0.625 0.125 0.125
# Energy relative to the elements   5.2 kcal/mol of atoms
# Symmetry   No. 227

# Hf2PaNbN6 (PBE, relaxed)
data_Hf2PaNbN6
_cell_length_a 5.574
_cell_length_b 5.574
_cell_length_c 5.832
_cell_angle_alpha 61.45
_cell_angle_beta 61.45
_cell_angle_gamma 60.00
_symmetry_space_group_name_H-M 'P 1'
_symmetry_Int_Tables_number 1
loop_
_symmetry_equiv_pos_as_xyz
'x,y,z'
loop_
_atom_site_label
_atom_site_fract_x
_atom_site_fract_y
_atom_site_fract_z
Nb1 0.308 0.308 0.077
N1 0.603 0.218 0.248
Hf1 0.523 0.523 0.430
N2 0.394 0.718 0.747
N3 0.142 0.394 0.747
Pa1 0.802 0.802 0.594
N4 0.218 0.932 0.248
N5 0.718 0.142 0.747
N6 0.932 0.603 0.248
Hf2 0.023 0.023 0.930
# Energy relative to the elements, uncorrected   -1.350 eV/atom
# Symmetry   No. 146

# K2CeAuCl6 (PBE, relaxed)
data_K2CeAuCl6
_cell_length_a 7.725
_cell_length_b 7.725
_cell_length_c 7.725
_cell_angle_alpha 60.00
_cell_angle_beta 60.00
_cell_angle_gamma 60.00
_symmetry_space_group_name_H-M 'P 1'
_symmetry_Int_Tables_number 1
loop_
_symmetry_equiv_pos_as_xyz
'x,y,z'
loop_
_atom_site_label
_atom_site_fract_x
_atom_site_fract_y
_atom_site_fract_z
Cl1 0.250 0.750 0.250
Ce1 0.000 0.000 0.000
K1 0.250 0.250 0.250
Cl2 0.250 0.750 0.750
Cl3 0.750 0.250 0.750
K2 0.750 0.750 0.750
Cl4 0.750 0.250 0.250
Cl5 0.250 0.250 0.750
Au1 0.500 0.500 0.500
Cl6 0.750 0.750 0.250
# Energy relative to the elements, uncorrected   -1.591 eV/atom
# Symmetry   No. 225

# Pm4NiSb (PBE, relaxed)
data_Pm4NiSb
_cell_length_a 6.129
_cell_length_b 8.251
_cell_length_c 8.350
_cell_angle_alpha 113.34
_cell_angle_beta 103.61
_cell_angle_gamma 105.47
_symmetry_space_group_name_H-M 'P 1'
_symmetry_Int_Tables_number 1
loop_
_symmetry_equiv_pos_as_xyz
'x,y,z'
loop_
_atom_site_label
_atom_site_fract_x
_atom_site_fract_y
_atom_site_fract_z
Pm1 0.326 0.659 0.860
Pm2 0.349 0.927 0.624
Ni1 0.248 0.998 0.995
Pm3 0.034 0.201 0.860
Pm4 0.775 0.697 0.624
Pm5 0.674 0.341 0.140
Pm6 0.966 0.799 0.140
Ni2 0.752 0.002 0.005
Sb1 0.631 0.381 0.762
Sb2 0.369 0.619 0.238
Pm7 0.225 0.303 0.376
Pm8 0.651 0.073 0.376
# Energy relative to the elements, uncorrected   -0.434 eV/atom
# Symmetry   No. 15